(1)
BaScRhO6 | Alexandria via LeMat-Bulk | PBE-GGA | relaxed; ΔE_f (raw) = -1.702 eV per atom; uncorrected energy = -6.74 eV/atom
1.0
5.395 0.000 0.000
-2.698 4.672 0.000
0.000 0.000 5.748
Ba Sc Rh O
1 1 1 6
direct
0.000 0.000 0.000
0.333 0.667 0.500
0.667 0.333 0.500
0.393 0.023 0.694
0.393 0.370 0.306
0.630 0.023 0.306
0.630 0.607 0.694
0.977 0.370 0.694
0.977 0.607 0.306

(2)
BaRhSe2O8 | Alexandria via LeMat-Bulk | PBE-GGA | relaxed; ΔE_f (raw) = -1.003 eV per atom; uncorrected energy = -5.66 eV/atom
1.0
2.605 1.504 7.359
-2.605 1.504 7.359
0.000 -3.008 7.359
Ba Rh Se O
1 1 2 8
direct
0.000 0.000 0.000
0.500 0.500 0.500
0.231 0.231 0.231
0.769 0.769 0.769
0.136 0.443 0.758
0.242 0.864 0.557
0.307 0.307 0.307
0.443 0.758 0.136
0.557 0.242 0.864
0.693 0.693 0.693
0.758 0.136 0.443
0.864 0.557 0.242

(3)
BaSiRhO6 | Alexandria via LeMat-Bulk | PBE-GGA | relaxed; ΔE_f (raw) = -1.749 eV per atom; uncorrected energy = -6.69 eV/atom
1.0
5.040 0.000 0.000
-2.520 4.365 0.000
0.000 0.000 5.831
Ba Si Rh O
1 1 1 6
direct
0.000 0.000 0.000
0.667 0.333 0.500
0.333 0.667 0.500
0.402 0.024 0.680
0.402 0.378 0.320
0.622 0.024 0.320
0.622 0.598 0.680
0.976 0.378 0.680
0.976 0.598 0.320

(4)
Ba3SmRh2O9 | Alexandria via LeMat-Bulk | PBE-GGA | relaxed; ΔE_f (raw) = -2.004 eV per atom; uncorrected energy = -6.66 eV/atom
1.0
5.917 0.000 0.000
-2.958 5.124 0.000
0.000 0.000 7.315
Ba Sm Rh O
3 1 2 9
direct
0.000 0.000 0.000
0.333 0.667 0.682
0.667 0.333 0.318
0.000 0.000 0.500
0.333 0.667 0.158
0.667 0.333 0.842
0.000 0.500 0.000
0.178 0.356 0.316
0.178 0.822 0.316
0.356 0.178 0.684
0.500 0.000 0.000
0.500 0.500 0.000
0.644 0.822 0.316
0.822 0.178 0.684
0.822 0.644 0.684

(5)
BaSr2RhO4 | Alexandria via LeMat-Bulk | PBE-GGA | relaxed; ΔE_f (raw) = -1.935 eV per atom; uncorrected energy = -5.99 eV/atom
1.0
1.823 -6.216 0.000
1.823 6.216 0.000
0.000 0.000 12.507
Ba Sr Rh O
2 4 2 8
direct
0.116 0.884 0.750
0.884 0.116 0.250
0.371 0.629 0.546
0.371 0.629 0.954
0.629 0.371 0.046
0.629 0.371 0.454
0.149 0.851 0.250
0.851 0.149 0.750
0.000 0.000 0.000
0.000 0.000 0.500
0.267 0.733 0.124
0.267 0.733 0.376
0.438 0.562 0.750
0.562 0.438 0.250
0.733 0.267 0.624
0.733 0.267 0.876

(6)
BaSrRhO4 | Alexandria via LeMat-Bulk | PBE-GGA | relaxed; ΔE_f (raw) = -1.896 eV per atom; uncorrected energy = -6.29 eV/atom
1.0
-2.003 2.003 6.564
2.003 -2.003 6.564
2.003 2.003 -6.564
Ba Sr Rh O
1 1 1 4
direct
0.000 0.000 0.000
0.711 0.711 0.000
0.353 0.353 0.000
0.196 0.196 0.000
0.344 0.844 0.500
0.513 0.513 0.000
0.844 0.344 0.500

(7)
BaSr2RhO6 | Alexandria via LeMat-Bulk | PBE-GGA | relaxed; ΔE_f (raw) = -1.857 eV per atom; uncorrected energy = -6.10 eV/atom
1.0
5.882 0.000 0.000
0.000 6.398 0.000
-5.779 0.000 8.603
Ba Sr Rh O
2 4 2 12
direct
0.000 0.000 0.000
0.000 0.500 0.500
0.218 0.046 0.731
0.218 0.454 0.231
0.782 0.546 0.769
0.782 0.954 0.269
0.500 0.000 0.500
0.500 0.500 0.000
0.189 0.159 0.468
0.189 0.341 0.968
0.256 0.750 0.408
0.256 0.750 0.908
0.407 0.086 0.292
0.407 0.414 0.792
0.593 0.586 0.208
0.593 0.914 0.708
0.744 0.250 0.092
0.744 0.250 0.592
0.811 0.659 0.032
0.811 0.841 0.532

(8)
BaSr2RhO5 | Alexandria via LeMat-Bulk | PBE-GGA | relaxed; ΔE_f (raw) = -2.114 eV per atom; uncorrected energy = -6.27 eV/atom
1.0
-1.949 3.025 5.970
1.949 -3.025 5.970
1.949 3.025 -5.970
Ba Sr Rh O
1 2 1 5
direct
0.000 0.000 0.000
0.288 0.788 0.500
0.712 0.212 0.500
0.500 0.500 0.000
0.136 0.372 0.764
0.392 0.628 0.764
0.500 0.000 0.500
0.608 0.372 0.236
0.864 0.628 0.236

Question: uncorrected energy of number 7 (BaSr2RhO6)?
Answer: -6.10 eV/atom

Question: The lowest ΔE_f (raw) belongs to which entry?
Answer: BaSr2RhO5

Question: Number 3 is which compound?
Answer: BaSiRhO6

Question: The highest uncorrected energy belongs to which entry?
Answer: BaRhSe2O8